DFT (PBE-GGA) results for crystalline Nb8AlH6 at its relaxed geometry.

Cell lengths 5.6751, 5.6751, 5.6751 Å; angles 95.29, 95.29, 95.29 degrees
With the nearest neighbours (Å) after each atom.
Atoms (fractional coordinates):
Nb  0.9007  0.2166  0.5527  3 H 1.90-1.98
Nb  0.0993  0.7834  0.4473  3 H 1.90-1.98
H  0.4345  0.8406  0.5256  4 Nb 1.90-1.98, 1 H 1.95
H  0.5256  0.4345  0.8406  4 Nb 1.90-1.98, 1 H 1.95
Al  0.0000  0.0000  0.0000  8 Nb 2.87-2.95
Nb  0.5527  0.9007  0.2166  3 H 1.90-1.98
Nb  0.7834  0.4473  0.0993  3 H 1.90-1.98
H  0.8406  0.5256  0.4345  4 Nb 1.90-1.98, 1 H 1.95
Nb  0.2166  0.5527  0.9007  3 H 1.90-1.98
H  0.5655  0.1594  0.4744  4 Nb 1.90-1.98, 1 H 1.95
H  0.4744  0.5655  0.1594  4 Nb 1.90-1.98, 1 H 1.95
Nb  0.6763  0.6763  0.6763  3 H 1.91
Nb  0.3237  0.3237  0.3237  3 H 1.91
H  0.1594  0.4744  0.5655  4 Nb 1.90-1.98, 1 H 1.95
Nb  0.4473  0.0993  0.7834  3 H 1.90-1.98

Results
Its density of states at the Fermi level is 0.46 states/eV per atom. The calculation puts the electronic total energy at -7.134 eV per atom.

DFT (PBE-GGA) results for crystalline Nb3AlH3 at its relaxed geometry.

Cell lengths 5.4229, 5.4229, 5.4229 Å; angles 90.00, 90.00, 90.00 degrees
With the nearest neighbours (Å) after each atom.
Atoms (fractional coordinates):
H  0.2500  0.0000  0.5000  4 Nb 1.92
Nb  0.5000  0.0000  0.7500  4 H 1.92
H  0.5000  0.7500  0.0000  4 Nb 1.92
H  0.0000  0.5000  0.7500  4 Nb 1.92
H  0.7500  0.0000  0.5000  4 Nb 1.92
Nb  0.0000  0.2500  0.5000  4 H 1.92
Al  0.5000  0.5000  0.5000  12 H 3.03, 12 Nb 3.03
H  0.5000  0.2500  0.0000  4 Nb 1.92
Nb  0.7500  0.5000  0.0000  4 H 1.92
Nb  0.2500  0.5000  0.0000  4 H 1.92
Al  0.0000  0.0000  0.0000  12 Nb 3.03, 12 H 3.03
Nb  0.5000  0.0000  0.2500  4 H 1.92
Nb  0.0000  0.7500  0.5000  4 H 1.92
H  0.0000  0.5000  0.2500  4 Nb 1.92

Results
Its density of states at the Fermi level is 0.16 states/eV per atom. The energy above the lowest structure with this stoichiometry comes out at 0.000 eV/atom. The calculation puts the electronic total energy at -6.549 eV per atom.

DFT (PBE-GGA) results for crystalline Nb3AlH3 at its relaxed geometry.

Cell lengths 5.6210, 5.6210, 7.0062 Å; angles 66.35, 66.35, 60.00 degrees
With the nearest neighbours (Å) after each atom.
Atoms (fractional coordinates):
Nb  0.9025  0.2129  0.2981  4 H 1.92-1.98
H  0.1356  0.4822  0.6061  4 Nb 1.92-1.98
Nb  0.7871  0.4134  0.7019  4 H 1.92-1.98
Nb  0.5866  0.9025  0.2981  4 H 1.92-1.98
H  0.5178  0.2238  0.3939  4 Nb 1.92-1.98
H  0.2238  0.8644  0.3939  4 Nb 1.92-1.98
Nb  0.2129  0.5866  0.2981  4 H 1.92-1.98
Nb  0.0975  0.7871  0.7019  4 H 1.92-1.98
Al  0.3341  0.3341  0.9978  6 Nb 2.67-2.68
Al  0.6659  0.6659  0.0022  6 Nb 2.67-2.68
H  0.8644  0.5178  0.3939  4 Nb 1.92-1.98
H  0.4822  0.7762  0.6061  4 Nb 1.92-1.98
Nb  0.4134  0.0975  0.7019  4 H 1.92-1.98
H  0.7762  0.1356  0.6061  4 Nb 1.92-1.98

Results
Its density of states at the Fermi level is 0.57 states/eV per atom. The energy above the lowest structure with this stoichiometry comes out at 0.283 eV/atom. The calculation puts the electronic total energy at -6.266 eV per atom.